Record 1
PtPb | GGA-PBE | optimized geometry

```
PtPb
1.0
4.962 0.000 0.000
2.481 4.297 0.000
2.481 1.432 4.051
Pb Pt
2 2
Direct
0.000 0.000 0.000
0.750 0.750 0.750
0.250 0.250 0.250
0.500 0.500 0.500
```

Summary:
Its space group is Fd-3m (227).

---

Record 2
PtPb3 | GGA-PBE | optimized geometry

```
PtPb3
1.0
-5.609 4.246 1.718
-5.151 -7.299 1.221
1.780 -0.201 6.308
Pb Pt
12 4
Direct
0.009 0.250 0.884
0.186 0.059 0.341
0.186 0.441 0.341
0.314 0.559 0.841
0.314 0.941 0.841
0.491 0.750 0.384
0.509 0.250 0.616
0.686 0.059 0.159
0.686 0.441 0.159
0.814 0.559 0.659
0.814 0.941 0.659
0.991 0.750 0.116
0.112 0.750 0.533
0.388 0.250 0.033
0.612 0.750 0.967
0.888 0.250 0.467
```

Summary:
Its space group is Pnma (62).

---

Record 3
PtPb3 | GGA-PBE | optimized geometry

```
PtPb3
1.0
-5.416 4.115 6.221
-7.750 3.811 3.221
-7.285 0.854 5.582
Pb Pt
3 1
Direct
0.017 0.017 0.017
0.250 0.250 0.250
0.483 0.483 0.483
0.750 0.750 0.750
```

Summary:
Its space group is R-3m (166).

---

Record 4
PtPb | GGA-PBE | optimized geometry

```
PtPb
1.0
8.282 0.000 0.000
0.000 8.282 0.000
0.000 0.000 8.282
Pt Pb
8 8
Direct
0.121 0.121 0.121
0.121 0.879 0.879
0.879 0.121 0.879
0.879 0.879 0.121
0.621 0.621 0.621
0.621 0.379 0.379
0.379 0.621 0.379
0.379 0.379 0.621
0.303 0.303 0.303
0.303 0.697 0.697
0.697 0.303 0.697
0.697 0.697 0.303
0.803 0.803 0.803
0.803 0.197 0.197
0.197 0.803 0.197
0.197 0.197 0.803
```

Summary:
Its space group is I-43m (217).

---

Record 5
Pt3Pb | GGA-PBE | optimized geometry

```
Pt3Pb
1.0
-0.909 -7.884 4.858
-2.325 -8.711 2.303
0.696 -8.935 2.505
Pb Pt
1 3
Direct
0.000 0.000 0.000
0.246 0.246 0.246
0.500 0.500 0.500
0.754 0.754 0.754
```

Summary:
Its space group is R-3m (166).

---

Record 6
PtPb3 | GGA-PBE | optimized geometry

```
PtPb3
1.0
-2.418 -4.053 4.786
2.977 -2.132 -0.302
4.201 4.969 6.330
Pb Pt
6 2
Direct
0.000 0.500 0.449
0.243 0.000 0.163
0.257 0.500 0.837
0.500 0.000 0.551
0.757 0.000 0.163
0.743 0.500 0.837
0.000 0.000 0.689
0.500 0.500 0.311
```

Summary:
Its space group is Pmmn (59).

---

Record 7
Pt3Pb2 | GGA-PBE | optimized geometry

```
Pt3Pb2
1.0
4.558 0.000 0.000
-2.279 3.948 0.000
0.000 0.000 6.014
Pb Pt
2 3
Direct
0.667 0.333 0.317
0.333 0.667 0.683
0.000 0.000 0.000
0.667 0.333 0.828
0.333 0.667 0.172
```

Summary:
Its space group is P-3m1 (164).

---

Record 8
PtPb3 | GGA-PBE | optimized geometry

```
PtPb3
1.0
-1.628 -8.448 -3.671
3.131 -5.101 -7.189
2.687 -1.484 2.224
Pb Pt
6 2
Direct
0.163 0.673 0.750
0.224 0.224 0.750
0.327 0.837 0.250
0.673 0.163 0.750
0.776 0.776 0.250
0.837 0.327 0.250
0.348 0.348 0.250
0.652 0.652 0.750
```

Summary:
Its space group is Cmcm (63).

---

Record 9
PtPb | GGA-PBE | optimized geometry

```
PtPb
1.0
-0.153 4.245 -1.888
-5.285 3.004 3.175
6.113 -3.052 0.593
Pb Pt
2 2
Direct
0.956 0.977 0.979
0.127 0.773 0.354
0.396 0.510 0.886
0.687 0.240 0.447
```

Summary:
Its space group is C2/m (12).

---

Record 10
PtPb | GGA-PBE | optimized geometry

```
PtPb
1.0
4.713 0.000 0.000
0.000 4.765 0.000
0.000 0.000 12.836
Pt Pb
6 6
Direct
0.000 0.252 0.619
0.500 0.748 0.881
0.500 0.748 0.119
0.000 0.252 0.381
0.000 0.675 0.000
0.500 0.325 0.500
0.000 0.748 0.766
0.500 0.252 0.734
0.500 0.252 0.266
0.000 0.748 0.234
0.000 0.750 0.500
0.500 0.250 0.000
```

Summary:
Its space group is Pmmn (59).

---

Record 11
Pt5Pb | GGA-PBE | optimized geometry

```
Pt5Pb
1.0
1.460 -7.284 0.000
1.460 7.284 0.000
0.000 0.000 4.831
Pt Pb
5 1
Direct
0.198 0.802 0.500
0.359 0.641 0.000
0.528 0.472 0.500
0.696 0.304 0.000
0.859 0.141 0.500
0.027 0.973 0.000
```

Summary:
Its space group is Amm2 (38).

---

Record 12
PtPb4 | GGA-PBE | optimized geometry

```
PtPb4
1.0
-2.076 2.076 8.829
2.076 -2.076 8.829
2.076 2.076 -8.829
Pt Pb
1 4
Direct
0.000 0.000 0.000
0.750 0.250 0.500
0.414 0.414 0.000
0.586 0.586 0.000
0.250 0.750 0.500
```

Summary:
Its space group is I4/mmm (139).

---

Record 13
PtPb4 | GGA-PBE | optimized geometry

```
PtPb4
1.0
6.811 0.000 0.000
0.000 6.811 0.000
0.000 0.000 6.067
Pb Pt
8 2
Direct
0.173 0.673 0.252
0.827 0.327 0.252
0.327 0.173 0.252
0.673 0.827 0.252
0.827 0.673 0.748
0.173 0.327 0.748
0.673 0.173 0.748
0.327 0.827 0.748
0.000 0.000 0.000
0.500 0.500 0.000
```

Summary:
Its space group is P4/nbm (125).

---

Number 1: magnetic moment 0.00 μB/f.u., energy relative to the elements 178 meV/atom, calculated total energy -4.70 eV/atom. Number 2: magnetic moment 0.00 μB/f.u., energy relative to the elements -116 meV/atom, calculated total energy -4.41 eV/atom. Number 3: magnetic moment 0.00 μB/f.u., energy relative to the elements -43 meV/atom, calculated total energy -4.33 eV/atom. Number 4: magnetic moment 0.00 μB/f.u., energy relative to the elements 131 meV/atom, calculated total energy -4.74 eV/atom. Number 5: magnetic moment 0.00 μB/f.u., energy relative to the elements 244 meV/atom, calculated total energy -5.21 eV/atom. Number 6: magnetic moment 0.00 μB/f.u., energy relative to the elements -90 meV/atom, calculated total energy -4.38 eV/atom. Number 7: magnetic moment 0.00 μB/f.u., energy relative to the elements -108 meV/atom, calculated total energy -5.22 eV/atom. Number 8: magnetic moment 0.00 μB/f.u., energy relative to the elements -89 meV/atom, calculated total energy -4.38 eV/atom. Number 9: magnetic moment 0.00 μB/f.u., energy relative to the elements -87 meV/atom, calculated total energy -4.96 eV/atom. Number 10: magnetic moment 0.00 μB/f.u., energy relative to the elements -122 meV/atom, calculated total energy -5.00 eV/atom. Number 11: magnetic moment 0.00 μB/f.u., energy relative to the elements 65 meV/atom, calculated total energy -5.59 eV/atom. Number 12: magnetic moment 0.00 μB/f.u., energy relative to the elements 385 meV/atom, calculated total energy -3.79 eV/atom. Number 13: magnetic moment 0.00 μB/f.u., energy relative to the elements -136 meV/atom, calculated total energy -4.31 eV/atom.